DFT (PBE) results for an optimized crystal structure of InCu2P.

Cell: 6.3808 6.3808 6.3808 Å, 90.00 90.00 90.00°
Space group F-43m (No. 216)
Symmetry-distinct sites (fractional):
In: 0.0000 0.0000 0.0000
Cu: 0.0000 0.0000 0.5000
Cu: 0.2500 0.2500 0.7500
P: 0.2500 0.2500 0.2500

Output
For the total DFT energy (no corrections), the calculation gives -3.716 eV/atom. The calculated formation energy comes out at 0.3695 eV/atom.